(1)
A plane-wave DFT calculation with GGA-PBEsol was carried out for BaTa2Au after structural relaxation.

Cell and atoms, written as POSCAR:
```
BaTa2Au
1.0
-1.472 1.001 2.415
-0.996 -2.778 0.544
7.816 -1.728 5.481
Ba Ta Au
1 2 1
direct
0.500 0.500 0.731 Ba
0.000 0.000 0.051 Ta
0.500 0.500 0.262 Ta
0.000 0.000 0.456 Au
```

Its space group is P4mm. Its formation energy is 0.3605 eV/atom. For the volume, the calculation gives 87.35 Å³/f.u. The total moment comes out at 0.000 μB/atom. The value obtained for the total energy is -7.4332 eV/atom. Its crystal system is tetragonal.



(2)
A plane-wave DFT calculation with GGA-PBEsol was carried out for BeAs3Ir after structural relaxation.

Cell and atoms, written as POSCAR:
```
BeAs3Ir
1.0
4.794 0.000 0.000
0.000 4.794 0.000
0.000 0.000 4.794
As Be Ir
3 1 1
direct
0.000 0.500 0.000 As
0.500 0.000 0.000 As
0.000 0.000 0.500 As
0.500 0.500 0.500 Be
0.000 0.000 0.000 Ir
```

Its space group is Pm-3m. Its formation energy is 1.0701 eV/atom. For the volume, the calculation gives 110.17 Å³/f.u. The total moment comes out at 0.000 μB/atom. The value obtained for the total energy is -4.7584 eV/atom. Its crystal system is cubic.



(3)
A plane-wave DFT calculation with GGA-PBEsol was carried out for SrCaY3 after structural relaxation.

Cell and atoms, written as POSCAR:
```
SrCaY3
1.0
-1.347 -2.961 -4.691
-4.134 -2.683 2.881
-3.699 4.077 -1.511
Sr Y Ca
1 3 1
direct
0.000 0.000 0.000 Sr
0.000 0.000 0.500 Y
0.000 0.500 0.000 Y
0.500 0.000 0.000 Y
0.500 0.500 0.500 Ca
```

Its space group is Pm-3m. Its formation energy is 0.8500 eV/atom. For the volume, the calculation gives 185.99 Å³/f.u. The total moment comes out at 0.000 μB/atom. The value obtained for the total energy is -4.0380 eV/atom. Its crystal system is cubic.



(4)
A plane-wave DFT calculation with GGA-PBEsol was carried out for Na3FeO3 after structural relaxation.

Cell and atoms, written as POSCAR:
```
Na3FeO3
1.0
-4.736 3.056 -1.000
-0.728 -5.742 -0.261
-2.728 -0.213 12.273
O Na Fe
12 12 4
direct
0.496 0.047 0.873 O
0.620 0.800 0.563 O
0.880 0.700 0.063 O
0.120 0.300 0.937 O
0.004 0.453 0.373 O
0.575 0.547 0.772 O
0.075 0.047 0.728 O
0.925 0.953 0.272 O
0.504 0.953 0.127 O
0.996 0.547 0.627 O
0.425 0.453 0.228 O
0.380 0.200 0.437 O
0.739 0.282 0.016 Na
0.761 0.218 0.516 Na
0.143 0.694 0.222 Na
0.794 0.859 0.903 Na
0.294 0.359 0.597 Na
0.206 0.141 0.097 Na
0.239 0.782 0.484 Na
0.857 0.306 0.778 Na
0.643 0.194 0.278 Na
0.261 0.718 0.984 Na
0.706 0.641 0.403 Na
0.357 0.806 0.722 Na
0.677 0.758 0.164 Fe
0.177 0.258 0.336 Fe
0.323 0.242 0.836 Fe
0.823 0.742 0.664 Fe
```

Its space group is P2_1/c. The formation energy from raw total energies comes out at -1.37 eV/atom. For the volume, the calculation gives 94.75 Å³/f.u. The total moment comes out at 0.715 μB/atom. The value obtained for the total energy is -5.5040 eV/atom. Its crystal system is monoclinic.



(5)
A plane-wave DFT calculation with GGA-PBEsol was carried out for ZrPW2 after structural relaxation.

Cell and atoms, written as POSCAR:
```
ZrPW2
1.0
3.221 0.000 0.000
1.610 2.789 0.000
1.610 0.930 7.512
P W Zr
1 2 1
direct
0.256 0.256 0.233 P
0.745 0.745 0.766 W
0.991 0.991 0.026 W
0.508 0.508 0.476 Zr
```

Its space group is R3m. Its formation energy is -0.0053 eV/atom. For the volume, the calculation gives 67.48 Å³/f.u. The total moment comes out at 0.000 μB/atom. The value obtained for the total energy is -10.6293 eV/atom. Its crystal system is trigonal.



(6)
A plane-wave DFT calculation with GGA-PBEsol was carried out for KAs after structural relaxation.

Cell and atoms, written as POSCAR:
```
KAs
1.0
6.431 0.000 0.000
0.000 6.642 0.000
0.000 0.000 11.512
K As
8 8
direct
0.599 0.394 0.082 K
0.332 0.651 0.787 K
0.401 0.894 0.418 K
0.668 0.151 0.713 K
0.901 0.606 0.582 K
0.832 0.849 0.213 K
0.168 0.349 0.287 K
0.099 0.106 0.918 K
0.831 0.678 0.886 As
0.593 0.937 0.967 As
0.407 0.437 0.533 As
0.331 0.822 0.114 As
0.907 0.063 0.467 As
0.169 0.178 0.614 As
0.669 0.322 0.386 As
0.093 0.563 0.033 As
```

Its space group is P2_12_12_1. Its formation energy is -0.4384 eV/atom. For the volume, the calculation gives 61.47 Å³/f.u. The total moment comes out at 0.000 μB/atom. The value obtained for the total energy is -3.5582 eV/atom. Its crystal system is orthorhombic.



(7)
A plane-wave DFT calculation with GGA-PBEsol was carried out for Li3Mn3O5F3 after structural relaxation.

Cell and atoms, written as POSCAR:
```
Li3Mn3O5F3
1.0
5.671 0.022 0.010
-2.602 5.140 0.010
-2.834 -1.772 4.834
Mn O F Li
3 5 3 3
direct
0.248 0.626 0.374 Mn
0.751 0.131 0.383 Mn
0.749 0.613 0.389 Mn
0.304 0.427 0.163 O
0.195 0.826 0.585 O
0.714 0.871 0.575 O
0.785 0.378 0.179 O
0.753 0.384 0.593 O
0.242 0.871 0.100 F
0.262 0.379 0.647 F
0.748 0.871 0.146 F
0.241 0.619 0.871 Li
0.499 0.226 0.754 Li
0.009 0.029 0.990 Li
```

Its space group is P1. The formation energy from raw total energies comes out at -2.10 eV/atom. For the volume, the calculation gives 141.47 Å³/f.u. The total moment comes out at 0.788 μB/atom. The value obtained for the total energy is -6.8963 eV/atom. Its crystal system is triclinic.



(8)
A plane-wave DFT calculation with GGA-PBEsol was carried out for InHg3 after structural relaxation.

Cell and atoms, written as POSCAR:
```
InHg3
1.0
-3.058 -0.429 -1.019
1.810 -1.190 -4.933
0.281 -5.257 1.371
In Hg
1 3
direct
0.000 0.500 0.334 In
0.500 0.000 0.500 Hg
0.500 0.500 0.835 Hg
0.000 0.000 0.997 Hg
```

Its space group is Pmm2. Its formation energy is -0.0110 eV/atom. For the volume, the calculation gives 95.31 Å³/f.u. The total moment comes out at 0.000 μB/atom. The value obtained for the total energy is -1.1819 eV/atom. Its crystal system is orthorhombic.



(9)
A plane-wave DFT calculation with GGA-PBEsol was carried out for CuRuI2N after structural relaxation.

Cell and atoms, written as POSCAR:
```
CuRuI2N
1.0
-0.339 2.730 2.388
-4.201 1.942 -2.817
-3.384 -3.016 2.967
N I Cu Ru
1 2 1 1
direct
0.500 0.000 0.000 N
0.000 0.000 0.500 I
0.000 0.500 0.000 I
0.500 0.500 0.500 Cu
0.000 0.000 0.000 Ru
```

Its space group is P4/mmm. The formation energy from raw total energies comes out at 0.55 eV/atom. For the volume, the calculation gives 106.94 Å³/f.u. The total moment comes out at 0.000 μB/atom. The value obtained for the total energy is -4.7630 eV/atom. Its crystal system is tetragonal.



(10)
A plane-wave DFT calculation with GGA-PBEsol was carried out for ZrMn2P after structural relaxation.

Cell and atoms, written as POSCAR:
```
ZrMn2P
1.0
3.753 0.000 0.000
1.877 3.250 0.000
1.877 1.083 4.564
Mn Zr P
2 1 1
direct
0.951 0.951 0.147 Mn
0.258 0.258 0.225 Mn
0.752 0.752 0.743 Zr
0.539 0.539 0.382 P
```

Its space group is R3m. Its formation energy is -0.5827 eV/atom. For the volume, the calculation gives 55.68 Å³/f.u. The total moment comes out at 0.003 μB/atom. The value obtained for the total energy is -9.1835 eV/atom. Its crystal system is trigonal.



(11)
A plane-wave DFT calculation with GGA-PBEsol was carried out for BaBe2Cr after structural relaxation.

Cell and atoms, written as POSCAR:
```
BaBe2Cr
1.0
-2.464 -1.036 -1.476
0.128 -2.593 1.607
-4.413 3.030 5.240
Cr Ba Be
1 1 2
direct
0.000 0.000 0.404 Cr
0.500 0.500 0.760 Ba
0.500 0.500 0.239 Be
0.000 0.000 0.097 Be
```

Its space group is P4mm. Its formation energy is 0.8264 eV/atom. For the volume, the calculation gives 69.82 Å³/f.u. The total moment comes out at 0.840 μB/atom. The value obtained for the total energy is -4.2713 eV/atom. Its crystal system is tetragonal.



What is the formula in the tenth record? ZrMn2P



Among the records above, which one has the highest total moment? BaBe2Cr



Copy entry 2 word for word.
A plane-wave DFT calculation with GGA-PBEsol was carried out for BeAs3Ir after structural relaxation.

Cell and atoms, written as POSCAR:
```
BeAs3Ir
1.0
4.794 0.000 0.000
0.000 4.794 0.000
0.000 0.000 4.794
As Be Ir
3 1 1
direct
0.000 0.500 0.000 As
0.500 0.000 0.000 As
0.000 0.000 0.500 As
0.500 0.500 0.500 Be
0.000 0.000 0.000 Ir
```

Its space group is Pm-3m. Its formation energy is 1.0701 eV/atom. For the volume, the calculation gives 110.17 Å³/f.u. The total moment comes out at 0.000 μB/atom. The value obtained for the total energy is -4.7584 eV/atom. Its crystal system is cubic.



What is the total moment in the sixth record? 0.000 μB/atom